# 1
A plane-wave DFT calculation with GGA-PBE was carried out for BaY4Re after structural relaxation.

Results
- calculated formation energy (eV per atom) = 1.0164
- symmetry = F-43m, No. 216

a b c (Å): 6.379 6.379 6.379
angles (deg): 60.00 60.00 60.00
Sites, in units of the cell vectors:
Ba 0.000 0.000 0.000
Y 0.377 0.377 0.377
Y 0.377 0.377 0.868
Y 0.377 0.868 0.377
Y 0.868 0.377 0.377
Re 0.750 0.750 0.750



# 2
A plane-wave DFT calculation with GGA-PBE was carried out for BaYRe3 after structural relaxation.

Results
- energy above the lowest structure with this stoichiometry (meV/atom) = 558
- calculated formation energy (eV per atom) = 3.0572
- symmetry = Pm-3m, No. 221

a b c (Å): 5.010 5.010 5.010
angles (deg): 90.00 90.00 90.00
Sites, in units of the cell vectors:
Ba 0.000 0.000 0.000
Y 0.500 0.500 0.500
Re 0.000 0.000 0.500
Re 0.000 0.500 0.000
Re 0.500 0.000 0.000



# 3
A plane-wave DFT calculation with GGA-PBE was carried out for BaY2Re after structural relaxation.

Results
- energy above the lowest structure with this stoichiometry (meV/atom) = 357
- calculated formation energy (eV per atom) = 0.5829
- symmetry = Pm, No. 6

a b c (Å): 3.537 5.002 7.584
angles (deg): 90.00 101.22 90.00
Sites, in units of the cell vectors:
Ba 0.000 0.000 0.000
Y 0.341 0.500 0.623
Y 0.635 0.000 0.416
Re 0.811 0.500 0.312



# 4
A plane-wave DFT calculation with GGA-PBE was carried out for BaY2Re after structural relaxation.

Results
- energy above the lowest structure with this stoichiometry (meV/atom) = 270
- calculated formation energy (eV per atom) = 0.4958
- symmetry = Immm, No. 71

a b c (Å): 6.740 6.740 6.740
angles (deg): 148.80 125.74 63.93
Sites, in units of the cell vectors:
Ba 0.000 0.000 0.000
Y 0.314 0.814 0.500
Y 0.686 0.186 0.500
Re 0.500 0.500 0.000



# 5
A plane-wave DFT calculation with GGA-PBE was carried out for BaYRe4 after structural relaxation.

Results
- calculated formation energy (eV per atom) = 0.4597
- symmetry = F-43m, No. 216

a b c (Å): 5.539 5.539 5.539
angles (deg): 60.00 60.00 60.00
Sites, in units of the cell vectors:
Ba 0.000 0.000 0.000
Y 0.250 0.250 0.250
Re 0.127 0.624 0.624
Re 0.624 0.127 0.624
Re 0.624 0.624 0.127
Re 0.624 0.624 0.624



# 6
A plane-wave DFT calculation with GGA-PBE was carried out for BaY2Re after structural relaxation.

Results
- energy above the lowest structure with this stoichiometry (meV/atom) = 220
- calculated formation energy (eV per atom) = 0.4459
- symmetry = Imm2, No. 44

a b c (Å): 8.426 8.426 8.426
angles (deg): 155.96 146.42 41.72
Sites, in units of the cell vectors:
Ba 0.000 0.000 0.000
Y 0.319 0.319 0.000
Y 0.675 0.175 0.500
Re 0.182 0.682 0.500